No. 1
Er2ZnGeO6 | PBE-GGA | optimized geometry

Unit cell a=4.867 b=5.140 c=5.140 alpha=90.00 beta=90.00 gamma=90.00
Element x y z (fractional)
1 Er 0.997 0.500 0.000
2 Er 0.997 0.000 0.500
3 Zn 0.552 0.500 0.500
4 Ge 0.596 0.000 0.000
5 O 0.730 0.240 0.240
6 O 0.730 0.240 0.760
7 O 0.159 0.500 0.500
8 O 0.227 0.000 0.000
9 O 0.730 0.760 0.760
10 O 0.730 0.760 0.240

V in Å³ per atom: 12.86
Space group: No. 99
Formation energy without anion corrections in eV/atom: -2.432

***

No. 2
LiTbCd3 | PBE-GGA | optimized geometry

Unit cell a=4.993 b=3.370 c=14.355 alpha=96.74 beta=105.31 gamma=90.00
Element x y z (fractional)
1 Li 0.455 0.131 0.263
2 Li 0.545 0.869 0.737
3 Tb 0.135 0.425 0.851
4 Tb 0.865 0.575 0.149
5 Cd 0.703 0.970 0.939
6 Cd 0.297 0.030 0.061
7 Cd 0.609 0.715 0.429
8 Cd 0.391 0.285 0.571
9 Cd 0.968 0.821 0.642
10 Cd 0.032 0.179 0.358

V in Å³ per atom: 23.13
Space group: No. 12
ΔH_f (0 K) in meV/atom: -177
Energy above the lowest structure with this stoichiometry in meV per atom: 17

***

No. 3
Sm2TmSc3Se6 | PBE-GGA | optimized geometry

Unit cell a=3.978 b=8.051 c=8.950 alpha=103.24 beta=102.84 gamma=90.00
Element x y z (fractional)
1 Sm 0.831 0.663 0.662
2 Sm 0.169 0.337 0.338
3 Tm 0.500 0.000 0.000
4 Sc 0.500 0.500 0.000
5 Sc 0.829 0.167 0.658
6 Sc 0.171 0.833 0.342
7 Se 0.333 0.933 0.666
8 Se 0.660 0.597 0.319
9 Se 0.667 0.067 0.334
10 Se 0.994 0.252 0.989
11 Se 0.006 0.748 0.011
12 Se 0.340 0.403 0.681

V in Å³ per atom: 22.64
Space group: No. 12
Formation energy without anion corrections in eV/atom: -1.671